Record 1
The following is a PBE-GGA calculation of crystalline Ba2SbW at its relaxed geometry, from Alexandria.

Structure (CIF):
```
data_Ba2SbW
_cell_length_a 7.8741
_cell_length_b 7.8741
_cell_length_c 7.8741
_cell_angle_alpha 90.00
_cell_angle_beta 90.00
_cell_angle_gamma 90.00
_symmetry_space_group_name_H-M 'F -4 3 m'
_symmetry_Int_Tables_number 216
_symmetry_space_group_name_Hall 'F -4 2 3'
loop_
_atom_site_label
_atom_site_type_symbol
_atom_site_fract_x
_atom_site_fract_y
_atom_site_fract_z
_atom_site_occupancy
Ba1 Ba 0.0000 0.0000 0.0000 1
Ba2 Ba 0.2500 0.2500 0.2500 1
Sb1 Sb 0.2500 0.2500 0.7500 1
W1 W 0.0000 0.0000 0.5000 1
```

## Properties
VASP energy (eV per atom): -4.47
Density (g/cm³): 7.894
Calculated volume (A^3/atom): 30.5

Record 2
The following is a PBE-GGA calculation of crystalline BaSb2W at its relaxed geometry, from Alexandria.

Structure (CIF):
```
data_BaSb2W
_cell_length_a 7.4464
_cell_length_b 7.4464
_cell_length_c 7.4464
_cell_angle_alpha 90.00
_cell_angle_beta 90.00
_cell_angle_gamma 90.00
_symmetry_space_group_name_H-M 'F m -3 m'
_symmetry_Int_Tables_number 225
_symmetry_space_group_name_Hall '-F 4 2 3'
loop_
_atom_site_label
_atom_site_type_symbol
_atom_site_fract_x
_atom_site_fract_y
_atom_site_fract_z
_atom_site_occupancy
Ba1 Ba 0.0000 0.0000 0.0000 1
Sb1 Sb 0.2500 0.2500 0.2500 1
W1 W 0.0000 0.0000 0.5000 1
```

## Properties
Energy relative to the lowest polymorph listed for this composition (eV per formula unit): 1.84
Density (g/cm³): 9.084
Calculated volume (A^3/atom): 25.8

Record 3
The following is a PBE-GGA calculation of crystalline BaSbW4 at its relaxed geometry, from Alexandria.

Structure (CIF):
```
data_BaSbW4
_cell_length_a 7.9269
_cell_length_b 7.9269
_cell_length_c 7.9269
_cell_angle_alpha 90.00
_cell_angle_beta 90.00
_cell_angle_gamma 90.00
_symmetry_space_group_name_H-M 'F -4 3 m'
_symmetry_Int_Tables_number 216
_symmetry_space_group_name_Hall 'F -4 2 3'
loop_
_atom_site_label
_atom_site_type_symbol
_atom_site_fract_x
_atom_site_fract_y
_atom_site_fract_z
_atom_site_occupancy
Ba1 Ba 0.0000 0.0000 0.0000 1
Sb1 Sb 0.2500 0.2500 0.7500 1
W1 W 0.1256 0.1256 0.3744 1
```

## Properties
VASP energy (eV per atom): -8.63
Density (g/cm³): 13.261
Calculated volume (A^3/atom): 20.8

What did the second record say?
The following is a PBE-GGA calculation of crystalline BaSb2W at its relaxed geometry, from Alexandria.

Structure (CIF):
```
data_BaSb2W
_cell_length_a 7.4464
_cell_length_b 7.4464
_cell_length_c 7.4464
_cell_angle_alpha 90.00
_cell_angle_beta 90.00
_cell_angle_gamma 90.00
_symmetry_space_group_name_H-M 'F m -3 m'
_symmetry_Int_Tables_number 225
_symmetry_space_group_name_Hall '-F 4 2 3'
loop_
_atom_site_label
_atom_site_type_symbol
_atom_site_fract_x
_atom_site_fract_y
_atom_site_fract_z
_atom_site_occupancy
Ba1 Ba 0.0000 0.0000 0.0000 1
Sb1 Sb 0.2500 0.2500 0.2500 1
W1 W 0.0000 0.0000 0.5000 1
```

## Properties
Energy relative to the lowest polymorph listed for this composition (eV per formula unit): 1.84
Density (g/cm³): 9.084
Calculated volume (A^3/atom): 25.8